# 1
Density functional theory data (PBE) for a relaxed Al2Pb crystal.

Cell and atoms, written as extended XYZ:
```
12
Lattice="11.2905 0.0000 0.0000 0.0000 3.1725 0.0000 -2.6861 0.0000 7.5082" Properties=species:S:1:pos:R:3 pbc="T T T"
Al -0.1523 0.0000 1.6589
Al 1.6503 1.5863 0.1491
Al 1.3089 0.0000 7.3591
Al 3.1115 1.5863 5.8493
Al 5.4929 1.5863 1.6589
Al 7.2955 0.0000 0.1491
Al 6.9541 1.5863 7.3591
Al 8.7567 0.0000 5.8493
Pb 0.1340 1.5863 4.6077
Pb 2.8251 0.0000 2.9005
Pb 5.7793 0.0000 4.6077
Pb 8.4703 1.5863 2.9005
```

Computed properties:
**Crystal system**: monoclinic
**Total DFT energy (no corrections)**: -10.641 eV per formula unit
**Total magnetic moment**: 0.00 μB/cell
**DFT formation energy**: 53 kJ/mol of formula units
**Volume**: 22.4 Å³/atom

=====

# 2
Density functional theory data (PBE) for a relaxed Al2Pb3 crystal.

Cell and atoms, written as extended XYZ:
```
10
Lattice="0.0000 12.1177 1.5763 7.0944 0.0000 1.5763 7.0944 12.1177 0.0000" Properties=species:S:1:pos:R:3 pbc="T T T"
Al 7.8314 6.8994 1.5763
Al 9.9045 12.9582 2.3644
Al 6.3573 17.3359 1.5763
Al 4.2842 11.2771 2.3644
Pb 5.3260 8.7258 0.8682
Pb 12.4099 14.7846 1.6564
Pb 8.8627 15.5095 0.8682
Pb 7.0944 12.1177 1.7390
Pb 8.8732 21.5684 1.6564
Pb 10.6416 18.1765 2.5272
```

Computed properties:
**Crystal system**: orthorhombic
**Total DFT energy (no corrections)**: -17.714 eV per formula unit
**Relative energy among the computed polymorphs**: 0 meV per atom
**Total magnetic moment**: 0.00 μB/cell
**DFT formation energy**: 86 kJ/mol of formula units
**Volume**: 27.1 Å³/atom

=====

# 3
Density functional theory data (PBE) for a relaxed AlPb crystal.

Cell and atoms, written as extended XYZ:
```
8
Lattice="7.2314 0.0000 0.0000 0.0000 7.2314 0.0000 0.0000 0.0000 5.0498" Properties=species:S:1:pos:R:3 pbc="T T T"
Al 1.6515 1.6515 0.0000
Al 1.9642 5.2672 2.5249
Al 5.2672 1.9642 2.5249
Al 5.5799 5.5799 0.0000
Pb 1.1654 6.0660 0.0000
Pb 2.4503 2.4503 2.5249
Pb 4.7811 4.7811 2.5249
Pb 6.0660 1.1654 0.0000
```

Computed properties:
**Crystal system**: tetragonal
**Total DFT energy (no corrections)**: -6.528 eV per formula unit
**Total magnetic moment**: 0.00 μB/cell
**DFT formation energy**: 89 kJ/mol of formula units
**Volume**: 33.0 Å³/atom

=====

# 4
Density functional theory data (PBE) for a relaxed Al2Pb3 crystal.

Cell and atoms, written as extended XYZ:
```
15
Lattice="4.3646 0.0000 0.0000 -2.1823 3.7799 0.0000 0.0000 0.0000 25.3099" Properties=species:S:1:pos:R:3 pbc="T T T"
Al 0.0000 0.0000 2.6755
Al 0.0000 0.0000 22.6344
Al 0.0000 2.5199 14.1978
Al 0.0000 2.5199 19.5487
Al 2.1823 1.2600 5.7612
Al 2.1823 1.2600 11.1121
Pb 0.0000 0.0000 7.3574
Pb 0.0000 0.0000 12.6549
Pb 0.0000 0.0000 17.9525
Pb 0.0000 2.5199 4.2183
Pb 0.0000 2.5199 9.5159
Pb 0.0000 2.5199 24.2306
Pb 2.1823 1.2600 1.0792
Pb 2.1823 1.2600 15.7940
Pb 2.1823 1.2600 21.0916
```

Computed properties:
**Crystal system**: trigonal
**Total DFT energy (no corrections)**: -17.092 eV per formula unit
**Relative energy among the computed polymorphs**: 124 meV per atom
**Total magnetic moment**: 0.00 μB/cell
**DFT formation energy**: 146 kJ/mol of formula units
**Volume**: 27.8 Å³/atom

=====

# 5
Density functional theory data (PBE) for a relaxed AlPb crystal.

Cell and atoms, written as extended XYZ:
```
8
Lattice="11.2800 0.0000 0.0000 0.0000 3.3572 0.0000 -1.8517 0.0000 5.2730" Properties=species:S:1:pos:R:3 pbc="T T T"
Al 1.0827 0.0000 1.8515
Al 2.7056 1.6786 3.4216
Al 6.7227 1.6786 1.8515
Al 8.3456 0.0000 3.4216
Pb -0.3725 1.6786 4.3254
Pb 4.1609 0.0000 0.9477
Pb 5.2674 0.0000 4.3254
Pb 9.8009 1.6786 0.9477
```

Computed properties:
**Crystal system**: monoclinic
**Total DFT energy (no corrections)**: -7.017 eV per formula unit
**Total magnetic moment**: 0.00 μB/cell
**DFT formation energy**: 42 kJ/mol of formula units
**Volume**: 25.0 Å³/atom

=====

# 6
Density functional theory data (PBE) for a relaxed Al8Pb crystal.

Cell and atoms, written as extended XYZ:
```
9
Lattice="-4.4797 4.4797 2.0764 4.4797 -4.4797 2.0764 4.4797 4.4797 -2.0764" Properties=species:S:1:pos:R:3 pbc="T T T"
Al 3.0819 0.0000 0.0000
Al 5.8776 0.0000 0.0000
Al 2.8756 2.8756 0.0000
Al 1.6041 -1.6041 2.0764
Al 0.0000 3.0819 0.0000
Al 0.0000 5.8776 0.0000
Al -1.6041 1.6041 2.0764
Al 1.6041 1.6041 2.0764
Pb 0.0000 0.0000 0.0000
```

Computed properties:
**Crystal system**: tetragonal
**Total DFT energy (no corrections)**: -32.387 eV per formula unit
**Total magnetic moment**: 0.00 μB/cell
**DFT formation energy**: 122 kJ/mol of formula units
**Volume**: 18.5 Å³/atom